## BeFeSeN2 (PBE-GGA)

Data for a relaxed BeFeSeN2 crystal.

Lattice parameters (Å, degrees): 3.381 3.381 6.016 90.00 90.00 90.00
Positions (direct):
Be 0.000 0.000 0.000
Fe 0.500 0.500 0.500
Se 0.000 0.000 0.500
N 0.000 0.500 0.000
N 0.500 0.000 0.000

Calculated values
The energy relative to the elements, uncorrected is 5.55 eV/f.u. Its energy relative to the lowest polymorph listed for this composition is 354 meV/atom. The density of states at the Fermi level comes out at 4.88 states/eV/cell.